Entry 1:
Material: La3GaAs
Method: DFT, GGA-PBE
State: optimized geometry

The structure in POSCAR format:
```
La3GaAs
1.0
5.9024 0.0000 0.0000
0.0000 5.9024 0.0000
0.0000 0.0000 5.9024
La Ga As
3 1 1
direct
0.0000 0.0000 0.5000
0.0000 0.5000 0.0000
0.5000 0.0000 0.0000
0.5000 0.5000 0.5000
0.0000 0.0000 0.0000
```

Properties
Calculated formation energy, eV/atom: -0.40
SG: Pm-3m
DFT total energy, eV per cell: -24.439



Entry 2:
Material: GeBiW2
Method: DFT, GGA-PBE
State: optimized geometry

The structure in POSCAR format:
```
GeBiW2
1.0
6.5967 0.0000 0.0000
0.0000 6.5967 0.0000
0.0000 0.0000 6.5967
Ge Bi W
4 4 8
direct
0.0000 0.0000 0.0000
0.0000 0.5000 0.5000
0.5000 0.0000 0.5000
0.5000 0.5000 0.0000
0.0000 0.0000 0.5000
0.0000 0.5000 0.0000
0.5000 0.0000 0.0000
0.5000 0.5000 0.5000
0.2500 0.2500 0.2500
0.2500 0.2500 0.7500
0.2500 0.7500 0.2500
0.2500 0.7500 0.7500
0.7500 0.2500 0.2500
0.7500 0.2500 0.7500
0.7500 0.7500 0.2500
0.7500 0.7500 0.7500
```

Properties
Calculated formation energy, eV/atom: 0.92
SG: Fm-3m
DFT total energy, eV per cell: -122.974



Entry 3:
Material: ScRe2Ir
Method: DFT, GGA-PBE
State: optimized geometry

The structure in POSCAR format:
```
ScRe2Ir
1.0
3.1536 0.0000 0.0000
0.0000 3.1536 0.0000
0.0000 0.0000 6.4337
Sc Re Ir
1 2 1
direct
0.0000 0.0000 0.0000
0.5000 0.5000 0.2631
0.5000 0.5000 0.7369
0.0000 0.0000 0.5000
```

Properties
Calculated formation energy, eV/atom: 0.20
SG: P4/mmm
DFT total energy, eV per cell: -39.304



| no. | energy relative to the lowest polymorph listed for this composition (meV/atom) |
| --- | --- |
| 1 | 0 |
| 2 | 0 |
| 3 | 345 |